ZnGeHAuSe | PBE-GGA | optimized geometry

Properties
polymorph energy (0 for the lowest one)	0.0844	eV per atom
total energy	-3.227	eV per atom
total magnetization	0.00	μB per cell

Cell: 4.522 3.662 13.143 Å, 90.00 101.19 90.00°
Sites, in units of the cell vectors:
Zn 0.810 0.000 0.072
Ge 0.071 0.500 0.428
Se 0.601 0.000 0.665
H 0.428 0.500 0.449
H 0.428 0.000 0.949
Ge 0.071 0.000 0.928
Zn 0.810 0.500 0.572
Au 0.896 0.000 0.301
Se 0.601 0.500 0.165
Au 0.896 0.500 0.801